Below is a relaxed Mg2CoNiAs2 crystal, with properties calculated at the GGA-PBE level.

Cell lengths 5.567, 5.635, 7.218 Å; angles 112.97, 112.68, 90.00 degrees
Site moments in Bohr magnetons follow the coordinates.
Atoms (fractional coordinates):
Mg 0.404 0.157 0.315  0.00
Mg 0.596 0.843 0.685  0.00
Mg 0.089 0.343 0.685  0.00
Mg 0.911 0.657 0.315  0.00
Co 0.500 0.750 0.000  0.84
Co 0.500 0.250 0.000  0.84
Ni 0.000 0.750 0.000  0.16
Ni 0.000 0.250 0.000  0.16
As 0.862 0.118 0.235  0.02
As 0.374 0.618 0.235  0.02
As 0.626 0.382 0.765  0.02
As 0.138 0.882 0.765  0.02

Properties
Final energy ... -4.668 eV per atom
Total magnetic moment ... 1.08 μB/f.u.
Space-group type ... Ibam